Entry from the Alexandria database: InSn3Ge after structural relaxation (GGA-PBEsol).

- Formation enthalpy at 0 K: 815.4 meV/atom
- Calculated volume: 32.637 A^3/atom
- DOS at the Fermi energy: 4.13 states/eV/cell
- Space-group type: No. 221

Lattice parameters (Å, degrees): 5.465 5.465 5.465 90.00 90.00 90.00
Fractional positions:
In (0.000, 0.000, 0.000)
Sn (0.000, 0.000, 0.500)
Sn (0.000, 0.500, 0.000)
Sn (0.500, 0.000, 0.000)
Ge (0.500, 0.500, 0.500)